Computed, not measured: crystalline LiLaCoSb at its relaxed geometry at the PBE level of DFT.

Properties
E_tot   -18.70 eV/f.u.

Unit cell a=5.0683 b=5.0683 c=5.0683 alpha=60.00 beta=60.00 gamma=60.00
Fractional coordinates of all 4 atoms:
Sb1 0.0000 0.0000 0.0000
La1 0.2500 0.2500 0.2500
Co1 0.5000 0.5000 0.5000
Li1 0.7500 0.7500 0.7500


Computed, not measured: crystalline LiLaCoSb at its relaxed geometry at the PBE level of DFT.

Properties
E_tot   -18.45 eV/f.u.

Unit cell a=4.8824 b=4.8824 c=4.8824 alpha=60.00 beta=60.00 gamma=60.00
Fractional coordinates of all 4 atoms:
La1 0.5000 0.5000 0.5000
Li1 0.7500 0.7500 0.7500
Sb1 0.2500 0.2500 0.2500
Co1 0.0000 0.0000 0.0000


Computed, not measured: crystalline LiLaTaCo at its relaxed geometry at the PBE level of DFT.

Properties
E_tot   -24.01 eV/f.u.

Unit cell a=4.6916 b=4.6916 c=4.6916 alpha=60.00 beta=60.00 gamma=60.00
Fractional coordinates of all 4 atoms:
La1 0.5000 0.5000 0.5000
Co1 0.2500 0.2500 0.2500
Ta1 0.0000 0.0000 0.0000
Li1 0.7500 0.7500 0.7500


Computed, not measured: crystalline LiLaTaCo at its relaxed geometry at the PBE level of DFT.

Properties
E_tot   -22.90 eV/f.u.

Unit cell a=4.6052 b=4.6052 c=4.6052 alpha=60.00 beta=60.00 gamma=60.00
Fractional coordinates of all 4 atoms:
Li1 0.7500 0.7500 0.7500
Co1 0.5000 0.5000 0.5000
La1 0.2500 0.2500 0.2500
Ta1 0.0000 0.0000 0.0000


Computed, not measured: crystalline LiLaTaCo at its relaxed geometry at the PBE level of DFT.

Properties
E_tot   -23.96 eV/f.u.

Unit cell a=4.6355 b=4.6355 c=4.6355 alpha=60.00 beta=60.00 gamma=60.00
Fractional coordinates of all 4 atoms:
Li1 0.7500 0.7500 0.7500
Co1 0.0000 0.0000 0.0000
Ta1 0.2500 0.2500 0.2500
La1 0.5000 0.5000 0.5000


Computed, not measured: crystalline La2MgCoN6 at its relaxed geometry at the PBE level of DFT.

Properties
E_tot   -68.61 eV/f.u.

Unit cell a=5.4353 b=5.4650 c=5.5215 alpha=119.26 beta=119.29 gamma=90.00
Fractional coordinates of all 10 atoms:
Mg1 0.9979 0.4982 0.9957
N1 0.2574 0.2275 0.9924
N2 0.2522 0.7573 0.9774
N3 0.7276 0.2370 0.9935
N4 0.2556 0.7627 0.5133
N5 0.7472 0.2386 0.4936
N6 0.7217 0.7528 0.9770
La1 0.2457 0.2446 0.4903
La2 0.7433 0.7439 0.4894
Co1 0.5356 0.0306 0.0627


What did the third record say?
Computed, not measured: crystalline LiLaTaCo at its relaxed geometry at the PBE level of DFT.

Properties
E_tot   -24.01 eV/f.u.

Unit cell a=4.6916 b=4.6916 c=4.6916 alpha=60.00 beta=60.00 gamma=60.00
Fractional coordinates of all 4 atoms:
La1 0.5000 0.5000 0.5000
Co1 0.2500 0.2500 0.2500
Ta1 0.0000 0.0000 0.0000
Li1 0.7500 0.7500 0.7500


Question: The highest E_tot belongs to which entry?
Answer: number 2


Question: Which of these has the highest E_tot?
Answer: number 2


Question: Number 1 is which compound?
Answer: LiLaCoSb